Entry 1:
Here is a relaxed KNi2Cl crystal from the Alexandria database. Energies are from PBE.

abc: 3.2452 3.2452 8.0730
angles: 90.00 90.00 110.50
Element x y z (fractional)
1 Ni 0.0000 0.0000 0.0843
2 Ni 0.0000 0.0000 0.4157
3 K 0.5000 0.5000 0.7500
4 Cl 0.5000 0.5000 0.2500

Computed properties:
E_form (uncorrected) ... 662 meV/atom
SG ... No. 65
Polymorph energy (0 for the lowest one) ... 0.688 eV per atom

=====

Entry 2:
Here is a relaxed TeSeI2Cl crystal from the Alexandria database. Energies are from PBE.

abc: 5.5957 5.5957 5.7725
angles: 90.00 90.00 90.00
Each line ends with the local moment (μB).
Element x y z (fractional)
1 I 0.0000 0.5000 0.0000  0.08
2 I 0.5000 0.0000 0.0000  0.08
3 Te 0.0000 0.0000 0.5000  0.62
4 Se 0.0000 0.0000 0.0000  -0.01
5 Cl 0.5000 0.5000 0.5000  0.28

Computed properties:
E_form (uncorrected) ... 397 meV/atom
SG ... No. 123
Polymorph energy (0 for the lowest one) ... 0.000 eV per atom

=====

Entry 3:
Here is a relaxed K2InW crystal from the Alexandria database. Energies are from PBE.

abc: 2.9487 2.9487 12.2916
angles: 90.00 90.00 90.00
Each line ends with the local moment (μB).
Element x y z (fractional)
1 In 0.5000 0.5000 0.7500  0.00
2 K 0.0000 0.0000 0.0122  0.00
3 K 0.0000 0.0000 0.4878  0.00
4 W 0.5000 0.5000 0.2500  0.27

Computed properties:
Formation energy ... 4.37 eV per formula unit
SG ... No. 123

=====

Which calculated total energy belongs to each record? In order, -0.10894, -0.07048, -0.12416 Ha/atom.
Which mass density belongs to each record? In order, 4.0, 4.6, 5.9 g cm⁻³.
Which D(E_F) belongs to each record? In order, 4.58, 5.73, 5.21 states/eV/f.u..